Here is crystalline LiPrMg2 at its relaxed geometry from the Alexandria database. Energies are from PBE-GGA.

As for the symmetry: Fm-3m. The value obtained for the total magnetization is 0.000 μB per atom. The volume comes out at 103.06 Å³/cell. The uncorrected energy is -2.498 eV/atom.

Unit cell a=5.263 b=5.263 c=5.263 alpha=60.00 beta=60.00 gamma=60.00
Positions (direct):
Mg: 0.250 0.250 0.250
Li: 0.500 0.500 0.500
Mg: 0.750 0.750 0.750
Pr: 0.000 0.000 0.000

Here is crystalline Tc2Ni2Ge at its relaxed geometry from the Alexandria database. Energies are from PBE-GGA.

As for the symmetry: P4/mbm. The value obtained for the total magnetization is 0.000 μB per atom. The volume comes out at 144.30 Å³/cell. The uncorrected energy is -7.143 eV/atom.

Unit cell a=6.356 b=6.356 c=3.572 alpha=90.00 beta=90.00 gamma=90.00
Positions (direct):
Tc: 0.862 0.638 0.000
Ni: 0.850 0.350 0.500
Tc: 0.138 0.362 0.000
Tc: 0.638 0.138 0.000
Ge: 0.000 0.000 0.000
Ge: 0.500 0.500 0.000
Ni: 0.150 0.650 0.500
Tc: 0.362 0.862 0.000
Ni: 0.650 0.850 0.500
Ni: 0.350 0.150 0.500